MgRe2Rh: relaxed, PBE-GGA.

raw total energy: -8.25 eV/atom
N(E_F): 4.37 states/eV/cell
spin magnetization: 0.00 μB/f.u.
calculated density: 13.520 g/cm³
energy of formation from the pure elements: 212 meV per atom

Unit cell a=2.690 b=2.690 c=8.482 alpha=90.00 beta=90.00 gamma=90.00
Space group P4/mmm (No. 123)
Symmetry-distinct sites (fractional):
1 Mg 0.000 0.000 0.000 [1 per cell]
2 Re 0.500 0.500 0.265 [2 per cell]
3 Rh 0.000 0.000 0.500 [1 per cell]



MgRe2Rh: relaxed, PBE-GGA.

raw total energy: -8.26 eV/atom
N(E_F): 7.57 states/eV/cell
spin magnetization: 0.00 μB/f.u.
calculated density: 13.518 g/cm³
energy of formation from the pure elements: 197 meV per atom

Unit cell a=3.350 b=4.444 c=8.246 alpha=90.00 beta=90.00 gamma=90.00
Space group Imm2 (No. 44)
Symmetry-distinct sites (fractional):
1 Mg 0.000 0.000 0.000 [2 per cell]
2 Re 0.000 0.000 0.492 [2 per cell]
3 Re 0.000 0.500 0.768 [2 per cell]
4 Rh 0.000 0.500 0.248 [2 per cell]



MgReRh2: relaxed, PBE-GGA.

raw total energy: -7.34 eV/atom
N(E_F): 3.00 states/eV/cell
spin magnetization: 0.00 μB/f.u.
calculated density: 11.594 g/cm³
energy of formation from the pure elements: -155 meV per atom

Unit cell a=2.787 b=3.760 c=5.691 alpha=90.00 beta=90.00 gamma=90.00
Space group Pmmm (No. 47)
Symmetry-distinct sites (fractional):
1 Mg 0.000 0.000 0.000 [1 per cell]
2 Re 0.000 0.000 0.500 [1 per cell]
3 Rh 0.500 0.500 0.262 [2 per cell]



MgRe2Rh: relaxed, PBE-GGA.

raw total energy: -8.45 eV/atom
N(E_F): 1.37 states/eV/cell
spin magnetization: 0.00 μB/f.u.
calculated density: 13.622 g/cm³
energy of formation from the pure elements: 11 meV per atom

Unit cell a=3.057 b=3.057 c=6.517 alpha=90.00 beta=90.00 gamma=90.00
Space group P4mm (No. 99)
Symmetry-distinct sites (fractional):
1 Mg 0.000 0.000 0.000 [1 per cell]
2 Re 0.000 0.000 0.494 [1 per cell]
3 Re 0.500 0.500 0.275 [1 per cell]
4 Rh 0.500 0.500 0.764 [1 per cell]



MgReRh2: relaxed, PBE-GGA.

raw total energy: -6.97 eV/atom
N(E_F): 31.61 states/eV/cell
spin magnetization: 0.47 μB/f.u.
calculated density: 11.632 g/cm³
energy of formation from the pure elements: 219 meV per atom

Unit cell a=6.195 b=6.195 c=6.195 alpha=90.00 beta=90.00 gamma=90.00
Space group F-43m (No. 216)
Symmetry-distinct sites (fractional):
1 Mg 0.000 0.000 0.000 [4 per cell]
2 Re 0.250 0.250 0.250 [4 per cell]
3 Rh 0.000 0.000 0.500 [4 per cell]
4 Rh 0.250 0.250 0.750 [4 per cell]



MgReRh2: relaxed, PBE-GGA.

raw total energy: -7.24 eV/atom
N(E_F): 7.32 states/eV/cell
spin magnetization: 0.82 μB/f.u.
calculated density: 11.691 g/cm³
energy of formation from the pure elements: -57 meV per atom

Unit cell a=4.025 b=4.025 c=7.299 alpha=90.00 beta=90.00 gamma=90.00
Space group I4/mmm (No. 139)
Symmetry-distinct sites (fractional):
1 Mg 0.000 0.000 0.000 [2 per cell]
2 Re 0.000 0.000 0.500 [2 per cell]
3 Rh 0.000 0.500 0.250 [4 per cell]